# 1
PmAl7Ga12: relaxed, PBE.

* raw total energy: -3.19 eV per atom
* magnetic moment: 0.00 μB/cell
* Fermi-level density of states: 15.3 states/eV per cell

Cell and atoms, written as CIF:
```
data_PmAl7Ga12
_chemical_formula_sum 'Pm2 Al14 Ga24'
_symmetry_space_group_name_H-M 'I m -3'
_symmetry_Int_Tables_number 204
_symmetry_space_group_name_Hall '-I 2 2 3'
_cell_length_a 9.584
_cell_length_b 9.584
_cell_length_c 9.584
_cell_angle_alpha 90.00
_cell_angle_beta 90.00
_cell_angle_gamma 90.00
loop_
_atom_site_label
_atom_site_type_symbol
_atom_site_fract_x
_atom_site_fract_y
_atom_site_fract_z
Pm1 Pm 0.000 0.000 0.000
Al1 Al 0.000 0.000 0.500
Al2 Al 0.250 0.250 0.250
Ga1 Ga 0.000 0.352 0.237
```

---

# 2
Ac12Sn5Ru2: relaxed, PBE.

* raw total energy: -4.99 eV per atom
* magnetic moment: 1.32 μB/cell
* Fermi-level density of states: 34.5 states/eV per cell

Cell and atoms, written as CIF:
```
data_Ac12Sn5Ru2
_chemical_formula_sum 'Ac24 Sn10 Ru4'
_symmetry_space_group_name_H-M 'C 1 2/m 1'
_symmetry_Int_Tables_number 12
_cell_length_a 18.768
_cell_length_b 8.314
_cell_length_c 10.589
_cell_angle_alpha 90.00
_cell_angle_beta 106.51
_cell_angle_gamma 90.00
loop_
_symmetry_equiv_pos_as_xyz
'x,y,z'
'-x,-y,-z'
'-x,y,-z'
'x,-y,z'
'x+1/2,y+1/2,z'
'-x+1/2,-y+1/2,-z'
'-x+1/2,y+1/2,-z'
'x+1/2,-y+1/2,z'
loop_
_atom_site_label
_atom_site_type_symbol
_atom_site_fract_x
_atom_site_fract_y
_atom_site_fract_z
Ac1 Ac 0.002 0.000 0.223
Ac2 Ac 0.002 0.500 0.821
Ac3 Ac 0.148 0.252 0.573
Ac4 Ac 0.160 0.237 0.081
Sn1 Sn 0.000 0.500 0.500
Sn2 Sn 0.190 0.000 0.834
Sn3 Sn 0.198 0.000 0.360
Ru1 Ru 0.000 0.220 0.000
```

---

# 3
HfSeN3: relaxed, PBE.

* uncorrected formation energy: 0.813 eV/atom
* raw total energy: -6.87 eV per atom
* magnetic moment: 0.00 μB/cell
* Fermi-level density of states: 0.5 states/eV per cell

Cell and atoms, written as CIF:
```
data_HfSeN3
_chemical_formula_sum 'Hf1 Se1 N3'
_symmetry_space_group_name_H-M 'P m -3 m'
_symmetry_Int_Tables_number 221
_symmetry_space_group_name_Hall '-P 4 2 3'
_cell_length_a 3.751
_cell_length_b 3.751
_cell_length_c 3.751
_cell_angle_alpha 90.00
_cell_angle_beta 90.00
_cell_angle_gamma 90.00
loop_
_atom_site_label
_atom_site_type_symbol
_atom_site_fract_x
_atom_site_fract_y
_atom_site_fract_z
Hf1 Hf 0.000 0.000 0.000
Se1 Se 0.500 0.500 0.500
N1 N 0.000 0.500 0.500
```

---

# 4
Na3Ga5H12: relaxed, PBE.

* raw total energy: -2.88 eV per atom
* magnetic moment: 0.00 μB/cell
* Fermi-level density of states: 12.2 states/eV per cell

Cell and atoms, written as CIF:
```
data_Na3Ga5H12
_chemical_formula_sum 'Na24 Ga40 H96'
_symmetry_space_group_name_H-M 'I a -3 d'
_symmetry_Int_Tables_number 230
_symmetry_space_group_name_Hall '-I 4bd 2c 3'
_cell_length_a 12.886
_cell_length_b 12.886
_cell_length_c 12.886
_cell_angle_alpha 90.00
_cell_angle_beta 90.00
_cell_angle_gamma 90.00
loop_
_atom_site_label
_atom_site_type_symbol
_atom_site_fract_x
_atom_site_fract_y
_atom_site_fract_z
Na1 Na 0.000 0.250 0.125
Ga1 Ga 0.000 0.000 0.000
Ga2 Ga 0.000 0.250 0.375
H1 H 0.047 0.056 0.666
```

---

# 5
Zn2InMo: relaxed, PBE.

* raw total energy: -3.76 eV per atom
* magnetic moment: 0.00 μB/cell
* Fermi-level density of states: 2.0 states/eV per cell

Cell and atoms, written as CIF:
```
data_Zn2InMo
_chemical_formula_sum 'Zn2 In1 Mo1'
_symmetry_space_group_name_H-M 'P m m 2'
_symmetry_Int_Tables_number 25
_cell_length_a 2.948
_cell_length_b 3.935
_cell_length_c 5.839
_cell_angle_alpha 90.00
_cell_angle_beta 90.00
_cell_angle_gamma 90.00
loop_
_symmetry_equiv_pos_as_xyz
'x,y,z'
'-x,-y,z'
'-x,y,z'
'x,-y,z'
loop_
_atom_site_label
_atom_site_type_symbol
_atom_site_fract_x
_atom_site_fract_y
_atom_site_fract_z
Zn1 Zn 0.000 0.000 0.000
Zn2 Zn 0.500 0.500 0.228
In1 In 0.000 0.000 0.502
Mo1 Mo 0.500 0.500 0.767
```

---

# 6
Ca2BeBi: relaxed, PBE.

* raw total energy: -2.56 eV per atom
* magnetic moment: 0.03 μB/cell
* Fermi-level density of states: 10.6 states/eV per cell
* energy relative to the lowest polymorph listed for this composition: 456 meV/atom

Cell and atoms, written as CIF:
```
data_Ca2BeBi
_chemical_formula_sum 'Ca8 Be4 Bi4'
_symmetry_space_group_name_H-M 'I -4 2 d'
_symmetry_Int_Tables_number 122
_symmetry_space_group_name_Hall 'I -4 2bw'
_cell_length_a 5.404
_cell_length_b 5.404
_cell_length_c 19.035
_cell_angle_alpha 90.00
_cell_angle_beta 90.00
_cell_angle_gamma 90.00
loop_
_atom_site_label
_atom_site_type_symbol
_atom_site_fract_x
_atom_site_fract_y
_atom_site_fract_z
Ca1 Ca 0.226 0.250 0.125
Be1 Be 0.000 0.000 0.000
Bi1 Bi 0.000 0.000 0.500
```

---

# 7
GePb2C: relaxed, PBE.

* raw total energy: -4.37 eV per atom
* magnetic moment: 0.00 μB/cell
* Fermi-level density of states: 1.5 states/eV per cell
* energy relative to the lowest polymorph listed for this composition: 0 meV/atom

Cell and atoms, written as CIF:
```
data_GePb2C
_chemical_formula_sum 'Ge4 Pb8 C4'
_symmetry_space_group_name_H-M 'I -4 2 d'
_symmetry_Int_Tables_number 122
_symmetry_space_group_name_Hall 'I -4 2bw'
_cell_length_a 5.978
_cell_length_b 5.978
_cell_length_c 11.456
_cell_angle_alpha 90.00
_cell_angle_beta 90.00
_cell_angle_gamma 90.00
loop_
_atom_site_label
_atom_site_type_symbol
_atom_site_fract_x
_atom_site_fract_y
_atom_site_fract_z
Ge1 Ge 0.000 0.000 0.000
Pb1 Pb 0.192 0.250 0.625
C1 C 0.000 0.000 0.500
```

---

# 8
La5NdTm6: relaxed, PBE.

* raw total energy: -4.66 eV per atom
* magnetic moment: 0.00 μB/cell
* Fermi-level density of states: 32.6 states/eV per cell

Cell and atoms, written as CIF:
```
data_La5NdTm6
_chemical_formula_sum 'La10 Nd2 Tm12'
_symmetry_space_group_name_H-M 'C 1 2/m 1'
_symmetry_Int_Tables_number 12
_cell_length_a 16.486
_cell_length_b 9.781
_cell_length_c 5.219
_cell_angle_alpha 90.00
_cell_angle_beta 108.35
_cell_angle_gamma 90.00
loop_
_symmetry_equiv_pos_as_xyz
'x,y,z'
'-x,-y,-z'
'-x,y,-z'
'x,-y,z'
'x+1/2,y+1/2,z'
'-x+1/2,-y+1/2,-z'
'-x+1/2,y+1/2,-z'
'x+1/2,-y+1/2,z'
loop_
_atom_site_label
_atom_site_type_symbol
_atom_site_fract_x
_atom_site_fract_y
_atom_site_fract_z
La1 La 0.000 0.000 0.000
La2 La 0.166 0.500 0.666
La3 La 0.167 0.000 0.667
Nd1 Nd 0.000 0.500 0.000
Tm1 Tm 0.000 0.251 0.500
Tm2 Tm 0.166 0.250 0.166
```

---

# 9
Ca2AlBiSb: relaxed, PBE.

* uncorrected formation energy: -0.607 eV/atom
* raw total energy: -3.76 eV per atom
* magnetic moment: 0.00 μB/cell
* Fermi-level density of states: 2.3 states/eV per cell

Cell and atoms, written as CIF:
```
data_Ca2AlBiSb
_chemical_formula_sum 'Ca4 Al2 Bi2 Sb2'
_symmetry_space_group_name_H-M 'P 1 21/m 1'
_symmetry_Int_Tables_number 11
_cell_length_a 7.664
_cell_length_b 5.011
_cell_length_c 7.925
_cell_angle_alpha 90.00
_cell_angle_beta 90.61
_cell_angle_gamma 90.00
loop_
_symmetry_equiv_pos_as_xyz
'x,y,z'
'-x,-y,-z'
'-x,y+1/2,-z'
'x,-y+1/2,z'
loop_
_atom_site_label
_atom_site_type_symbol
_atom_site_fract_x
_atom_site_fract_y
_atom_site_fract_z
Ca1 Ca 0.005 0.250 0.239
Ca2 Ca 0.491 0.250 0.200
Al1 Al 0.331 0.750 0.427
Bi1 Bi 0.262 0.250 0.593
Sb1 Sb 0.236 0.750 0.097
```

---

# 10
LaPrYTm3: relaxed, PBE.

* raw total energy: -4.83 eV per atom
* magnetic moment: 0.00 μB/cell
* Fermi-level density of states: 46.3 states/eV per cell

Cell and atoms, written as CIF:
```
data_LaPrYTm3
_chemical_formula_sum 'La4 Pr4 Y4 Tm12'
_symmetry_space_group_name_H-M 'C m c m'
_symmetry_Int_Tables_number 63
_symmetry_space_group_name_Hall '-C 2c 2'
_cell_length_a 5.823
_cell_length_b 11.668
_cell_length_c 11.648
_cell_angle_alpha 90.00
_cell_angle_beta 90.00
_cell_angle_gamma 90.00
loop_
_atom_site_label
_atom_site_type_symbol
_atom_site_fract_x
_atom_site_fract_y
_atom_site_fract_z
La1 La 0.000 0.005 0.250
Pr1 Pr 0.000 0.500 0.000
Y1 Y 0.000 0.324 0.250
Tm1 Tm 0.000 0.176 0.505
Tm2 Tm 0.000 0.330 0.750
```